# Y2PSe (GGA-PBEsol, optimized geometry)
# excess energy over the best structure of this formula in the dataset: 626.8 meV per atom
# E: -7.05 eV/atom
# M_tot: 0.020 μB per formula unit
data_Y2PSe
_chemical_formula_sum 'Y2 P1 Se1'
_cell_length_a 6.626
_cell_length_b 6.626
_cell_length_c 6.626
_cell_angle_alpha 145.57
_cell_angle_beta 145.57
_cell_angle_gamma 49.48
_symmetry_space_group_name_H-M 'P 1'
_symmetry_Int_Tables_number 1
loop_
_symmetry_equiv_pos_as_xyz
'x,y,z'
loop_
_atom_site_label
_atom_site_type_symbol
_atom_site_fract_x
_atom_site_fract_y
_atom_site_fract_z
Y1 Y 0.000 0.000 0.000
Y2 Y 0.750 0.250 0.500
P1 P 0.500 0.500 0.000
Se1 Se 0.250 0.750 0.500


# AlZnTe2 (GGA-PBEsol, optimized geometry)
# excess energy over the best structure of this formula in the dataset: 82.3 meV per atom
# E: -3.04 eV/atom
# M_tot: 0.000 μB per formula unit
data_AlZnTe2
_chemical_formula_sum 'Al1 Zn1 Te2'
_cell_length_a 5.008
_cell_length_b 5.008
_cell_length_c 3.544
_cell_angle_alpha 90.00
_cell_angle_beta 90.00
_cell_angle_gamma 90.10
_symmetry_space_group_name_H-M 'P 1'
_symmetry_Int_Tables_number 1
loop_
_symmetry_equiv_pos_as_xyz
'x,y,z'
loop_
_atom_site_label
_atom_site_type_symbol
_atom_site_fract_x
_atom_site_fract_y
_atom_site_fract_z
Al1 Al 0.000 0.000 0.000
Zn1 Zn 0.500 0.500 0.000
Te1 Te 0.000 0.500 0.500
Te2 Te 0.500 0.000 0.500


# In5SnSb3Te (GGA-PBEsol, optimized geometry)
# E: -3.72 eV/atom
# M_tot: 0.000 μB per formula unit
data_In5SnSb3Te
_chemical_formula_sum 'In5 Sn1 Sb3 Te1'
_cell_length_a 6.535
_cell_length_b 7.998
_cell_length_c 8.015
_cell_angle_alpha 80.29
_cell_angle_beta 65.97
_cell_angle_gamma 65.92
_symmetry_space_group_name_H-M 'P 1'
_symmetry_Int_Tables_number 1
loop_
_symmetry_equiv_pos_as_xyz
'x,y,z'
loop_
_atom_site_label
_atom_site_type_symbol
_atom_site_fract_x
_atom_site_fract_y
_atom_site_fract_z
In1 In 0.000 0.000 0.000
In2 In 0.177 0.208 0.419
In3 In 0.375 0.424 0.805
In4 In 0.588 0.625 0.209
In5 In 0.788 0.809 0.612
Sn1 Sn 0.930 0.714 0.908
Sb1 Sb 0.129 0.914 0.309
Sb2 Sb 0.344 0.114 0.709
Sb3 Sb 0.737 0.512 0.508
Te1 Te 0.537 0.312 0.111